No. 1
Here is a relaxed Tb4Tm2Th crystal from Alexandria via LeMat-Bulk. Energies are from PBE.

Unit cell a=20.271 b=20.271 c=20.271 alpha=10.05 beta=10.05 gamma=10.05
Positions (direct):
Tb 0.143 0.143 0.143
Tb 0.286 0.286 0.286
Tb 0.714 0.714 0.714
Tb 0.857 0.857 0.857
Tm 0.429 0.429 0.429
Tm 0.571 0.571 0.571
Th 0.000 0.000 0.000

Its symmetry is R-3m, No. 166. For the calculated density, the calculation gives 9.08 Mg/m³. The energy relative to the elements comes out at 2.4 kJ/mol of atoms. For the total moment, the calculation gives 0.0 μB per formula unit.

=====

No. 2
Here is a relaxed Tb4Tm3Th crystal from Alexandria via LeMat-Bulk. Energies are from PBE.

Unit cell a=11.294 b=7.219 c=6.225 alpha=90.00 beta=90.00 gamma=90.00
Positions (direct):
Tb 0.000 0.128 0.000
Tb 0.000 0.870 0.504
Tb 0.250 0.128 0.344
Tb 0.250 0.872 0.844
Tb 0.500 0.130 0.004
Tb 0.500 0.872 0.500
Tb 0.750 0.128 0.344
Tb 0.750 0.872 0.844
Tm 0.000 0.379 0.504
Tm 0.250 0.379 0.833
Tm 0.250 0.621 0.333
Tm 0.500 0.621 0.004
Tm 0.750 0.379 0.833
Tm 0.750 0.621 0.333
Th 0.000 0.623 0.004
Th 0.500 0.377 0.504

Its symmetry is Pmn2_1, No. 31. For the calculated density, the calculation gives 8.99 Mg/m³. The energy relative to the elements comes out at 2.0 kJ/mol of atoms. For the total moment, the calculation gives 0.0 μB per formula unit.

=====

No. 3
Here is a relaxed Tb5Tm6Th2 crystal from Alexandria via LeMat-Bulk. Energies are from PBE.

Unit cell a=11.415 b=20.543 c=3.532 alpha=90.00 beta=90.00 gamma=90.00
Positions (direct):
Tb 0.000 0.000 0.000
Tb 0.069 0.293 0.000
Tb 0.192 0.576 0.000
Tb 0.308 0.076 0.000
Tb 0.431 0.793 0.000
Tb 0.500 0.500 0.000
Tb 0.569 0.207 0.000
Tb 0.692 0.924 0.000
Tb 0.808 0.424 0.000
Tb 0.931 0.707 0.000
Tm 0.063 0.147 0.500
Tm 0.078 0.436 0.500
Tm 0.186 0.878 0.000
Tm 0.314 0.378 0.000
Tm 0.422 0.936 0.500
Tm 0.437 0.647 0.500
Tm 0.563 0.353 0.500
Tm 0.578 0.064 0.500
Tm 0.686 0.622 0.000
Tm 0.814 0.122 0.000
Tm 0.922 0.564 0.500
Tm 0.937 0.853 0.500
Th 0.187 0.735 0.500
Th 0.313 0.235 0.500
Th 0.687 0.765 0.500
Th 0.813 0.265 0.500

Its symmetry is Pbam, No. 55. For the calculated density, the calculation gives 9.11 Mg/m³. The energy relative to the elements comes out at 10.5 kJ/mol of atoms. For the total moment, the calculation gives 0.0 μB per formula unit.

=====

No. 4
Here is a relaxed Tb12Tm3Th5 crystal from Alexandria via LeMat-Bulk. Energies are from PBE.

Unit cell a=16.125 b=16.125 c=16.125 alpha=109.47 beta=109.47 gamma=109.47
Positions (direct):
Tb 0.068 0.642 0.411
Tb 0.068 0.927 0.657
Tb 0.073 0.231 0.142
Tb 0.073 0.343 0.932
Tb 0.089 0.731 0.657
Tb 0.089 0.858 0.432
Tb 0.142 0.073 0.231
Tb 0.142 0.568 0.911
Tb 0.157 0.231 0.589
Tb 0.157 0.427 0.568
Tb 0.231 0.142 0.073
Tb 0.231 0.589 0.157
Tb 0.269 0.343 0.911
Tb 0.269 0.427 0.358
Tb 0.343 0.911 0.269
Tb 0.343 0.932 0.073
Tb 0.358 0.269 0.427
Tb 0.358 0.589 0.932
Tb 0.411 0.068 0.642
Tb 0.411 0.843 0.769
Tb 0.427 0.358 0.269
Tb 0.427 0.568 0.157
Tb 0.432 0.089 0.858
Tb 0.432 0.843 0.573
Tb 0.568 0.157 0.427
Tb 0.568 0.911 0.142
Tb 0.573 0.432 0.843
Tb 0.573 0.642 0.731
Tb 0.589 0.157 0.231
Tb 0.589 0.932 0.358
Tb 0.642 0.411 0.068
Tb 0.642 0.731 0.573
Tb 0.657 0.068 0.927
Tb 0.657 0.089 0.731
Tb 0.731 0.573 0.642
Tb 0.731 0.657 0.089
Tb 0.769 0.411 0.843
Tb 0.769 0.858 0.927
Tb 0.843 0.573 0.432
Tb 0.843 0.769 0.411
Tb 0.858 0.432 0.089
Tb 0.858 0.927 0.769
Tb 0.911 0.142 0.568
Tb 0.911 0.269 0.343
Tb 0.927 0.657 0.068
Tb 0.927 0.769 0.858
Tb 0.932 0.073 0.343
Tb 0.932 0.358 0.589
Tm 0.125 0.250 0.375
Tm 0.125 0.375 0.750
Tm 0.250 0.375 0.125
Tm 0.250 0.875 0.625
Tm 0.375 0.125 0.250
Tm 0.375 0.750 0.125
Tm 0.625 0.250 0.875
Tm 0.625 0.875 0.750
Tm 0.750 0.125 0.375
Tm 0.750 0.625 0.875
Tm 0.875 0.625 0.250
Tm 0.875 0.750 0.625
Th 0.000 0.000 0.000
Th 0.000 0.000 0.500
Th 0.000 0.500 0.000
Th 0.000 0.500 0.500
Th 0.125 0.750 0.875
Th 0.125 0.875 0.250
Th 0.250 0.125 0.875
Th 0.250 0.625 0.375
Th 0.375 0.250 0.625
Th 0.375 0.625 0.750
Th 0.500 0.000 0.000
Th 0.500 0.000 0.500
Th 0.500 0.500 0.000
Th 0.500 0.500 0.500
Th 0.625 0.375 0.250
Th 0.625 0.750 0.375
Th 0.750 0.375 0.625
Th 0.750 0.875 0.125
Th 0.875 0.125 0.750
Th 0.875 0.250 0.125

Its symmetry is Ia-3d, No. 230. For the calculated density, the calculation gives 7.36 Mg/m³. The energy relative to the elements comes out at 116.8 kJ/mol of atoms. For the total moment, the calculation gives 4.7 μB per formula unit.